Below is a geometry-optimized LiMnIrO6 structure, with properties calculated at the GGA+U level.

a = 5.0545 Å, b = 5.0545 Å, c = 9.1754 Å
α = 90.00°, β = 90.00°, γ = 120.00°
Atoms (fractional coordinates):
Li 0.0000 0.0000 0.0000
Li 0.0000 0.0000 0.5000
Mn 0.3333 0.6667 0.2500
Mn 0.6667 0.3333 0.7500
Ir 0.3333 0.6667 0.7500
Ir 0.6667 0.3333 0.2500
O 0.0013 0.3648 0.1362
O 0.0013 0.6365 0.3638
O 0.3635 0.3648 0.3638
O 0.3635 0.9987 0.1362
O 0.3648 0.0013 0.6362
O 0.3648 0.3635 0.8638
O 0.6352 0.6365 0.1362
O 0.6352 0.9987 0.3638
O 0.6365 0.0013 0.8638
O 0.6365 0.6352 0.6362
O 0.9987 0.3635 0.6362
O 0.9987 0.6352 0.8638

Summary:
space group: P-31c, No. 163
total magnetization: 0.98 μB/f.u.
mass density: 5.73 g/cm³
E_tot: -6.312 eV per atom